The following is a PBE+U calculation of a relaxed K2VF4 crystal, from Alexandria via LeMat-Bulk.

Properties
theoretical density	2.883	g cm⁻³
DOS at the Fermi energy	0.00	states/eV/cell
DFT total energy	-36.48	eV/f.u.

Cell and atoms, written as extended XYZ:
```
28
Lattice="-4.891 3.146 1.271 -3.092 -5.029 0.552 3.084 -0.467 13.022" Properties=species:S:1:pos:R:3 pbc="T T T"
F -3.766 0.184 12.487
F -3.013 -1.047 5.380
F 1.108 -0.927 13.396
K 0.422 -0.058 1.919
F -4.415 1.062 1.162
V 1.542 -0.234 6.511
K 0.427 -2.793 8.705
K -5.321 -2.292 12.926
F -4.969 -3.576 3.229
K -3.512 -3.769 9.603
F 1.950 -0.262 8.594
F -4.436 -1.611 7.955
F -2.845 0.875 7.668
F -1.132 -2.535 2.358
V -2.449 -1.175 7.423
V -1.546 -2.515 0.276
F -0.483 -3.412 13.683
F -0.463 -0.739 6.890
K -1.386 1.418 5.242
F 0.070 1.226 11.616
K -5.325 0.443 6.140
F -2.054 -3.225 7.177
F -1.886 -1.303 9.465
K -1.382 -1.317 12.028
F -6.006 -1.424 1.449
V -2.445 1.573 0.636
F -6.849 -2.088 6.251
K -3.516 -1.034 2.817
```